Tl2SnTePd, optimized geometry, DFT PBE; E_form (uncorrected) = -0.159 eV per atom; calculated total energy = -3.573 eV per atom; magnetization = 0.00 μB per formula unit; symmetry = No. 123
1.0
5.3564 0.0000 0.0000
0.0000 5.3564 0.0000
0.0000 0.0000 5.2524
Tl Sn Te Pd
2 1 1 1
Direct
0.0000 0.5000 0.0000
0.5000 0.0000 0.0000
0.0000 0.0000 0.5000
0.5000 0.5000 0.5000
0.0000 0.0000 0.0000

=====

Sr12Te3N5, optimized geometry, DFT PBE; E_form (uncorrected) = -0.769 eV per atom; calculated total energy = -4.330 eV per atom; magnetization = 0.00 μB per formula unit; symmetry = No. 230
1.0
-8.5524 8.5524 8.5524
8.5524 -8.5524 8.5524
8.5524 8.5524 -8.5524
Sr Te N
48 12 20
Direct
0.0099 0.1949 0.1123
0.0099 0.3150 0.8976
0.0826 0.6949 0.6850
0.0826 0.8877 0.3976
0.1024 0.6123 0.4174
0.1024 0.9901 0.6850
0.1123 0.0099 0.1949
0.1123 0.6024 0.9174
0.1850 0.1949 0.5826
0.1850 0.4901 0.6024
0.1949 0.1123 0.0099
0.1949 0.5826 0.1850
0.3051 0.3150 0.9174
0.3051 0.4901 0.3877
0.3150 0.8976 0.0099
0.3150 0.9174 0.3051
0.3877 0.3051 0.4901
0.3877 0.5826 0.8976
0.3976 0.0826 0.8877
0.3976 0.8150 0.5099
0.4174 0.1024 0.6123
0.4174 0.8150 0.8051
0.4901 0.3877 0.3051
0.4901 0.6024 0.1850
0.5099 0.3976 0.8150
0.5099 0.6123 0.6949
0.5826 0.1850 0.1949
0.5826 0.8976 0.3877
0.6024 0.1850 0.4901
0.6024 0.9174 0.1123
0.6123 0.4174 0.1024
0.6123 0.6949 0.5099
0.6850 0.0826 0.6949
0.6850 0.1024 0.9901
0.6949 0.5099 0.6123
0.6949 0.6850 0.0826
0.8051 0.4174 0.8150
0.8051 0.8877 0.9901
0.8150 0.5099 0.3976
0.8150 0.8051 0.4174
0.8877 0.3976 0.0826
0.8877 0.9901 0.8051
0.8976 0.0099 0.3150
0.8976 0.3877 0.5826
0.9174 0.1123 0.6024
0.9174 0.3051 0.3150
0.9901 0.6850 0.1024
0.9901 0.8051 0.8877
0.1250 0.2500 0.3750
0.1250 0.3750 0.7500
0.2500 0.3750 0.1250
0.2500 0.8750 0.6250
0.3750 0.1250 0.2500
0.3750 0.7500 0.1250
0.6250 0.2500 0.8750
0.6250 0.8750 0.7500
0.7500 0.1250 0.3750
0.7500 0.6250 0.8750
0.8750 0.6250 0.2500
0.8750 0.7500 0.6250
0.0000 0.0000 0.0000
0.0000 0.0000 0.5000
0.0000 0.5000 0.0000
0.0000 0.5000 0.5000
0.1250 0.7500 0.8750
0.1250 0.8750 0.2500
0.2500 0.1250 0.8750
0.2500 0.6250 0.3750
0.3750 0.2500 0.6250
0.3750 0.6250 0.7500
0.5000 0.0000 0.0000
0.5000 0.0000 0.5000
0.5000 0.5000 0.0000
0.5000 0.5000 0.5000
0.6250 0.3750 0.2500
0.6250 0.7500 0.3750
0.7500 0.3750 0.6250
0.7500 0.8750 0.1250
0.8750 0.1250 0.7500
0.8750 0.2500 0.1250

=====

LiPmIn, optimized geometry, DFT PBE; E_form = -0.208 eV per atom; calculated total energy = -3.342 eV per atom; magnetization = 0.39 μB per formula unit; excess energy over the best structure of this formula in the dataset = 133 meV per atom; symmetry = No. 107
1.0
-1.8019 1.8019 5.7865
1.8019 -1.8019 5.7865
1.8019 1.8019 -5.7865
Li Pm In
1 1 1
Direct
0.0000 0.0000 0.0000
0.3035 0.3035 0.0000
0.6165 0.6165 0.0000